Entry from the Alexandria database: SrCa7TiMn7O24 after structural relaxation (PBE+U).

Lattice parameters (Å, degrees): 7.652 7.652 7.652 89.81 89.81 89.81
Fractional positions:
Ca1 0.759 0.759 0.257
O1 0.247 0.501 0.501
Ti1 0.504 0.504 0.504
O2 0.991 0.497 0.248
O3 0.995 0.248 0.995
Mn1 0.002 0.002 0.504
Mn2 0.002 0.503 0.503
Ca2 0.758 0.758 0.758
O4 0.500 0.753 0.500
O5 0.500 0.500 0.753
O6 0.994 0.748 0.994
O7 0.995 0.995 0.248
Ca3 0.257 0.759 0.759
O8 0.493 0.749 0.994
Ca4 0.256 0.256 0.761
Mn3 0.002 0.002 0.002
O9 0.994 0.493 0.749
Mn4 0.503 0.503 0.002
O10 0.497 0.991 0.248
Mn5 0.002 0.504 0.002
O11 0.248 0.995 0.995
O12 0.991 0.248 0.497
Ca5 0.256 0.761 0.256
O13 0.497 0.248 0.991
O14 0.501 0.247 0.501
O15 0.248 0.991 0.497
O16 0.501 0.501 0.247
O17 0.248 0.497 0.991
Mn6 0.503 0.002 0.503
O18 0.753 0.500 0.500
Mn7 0.504 0.002 0.002
O19 0.994 0.994 0.748
O20 0.749 0.493 0.994
Sr1 0.251 0.251 0.251
O21 0.994 0.749 0.493
O22 0.748 0.994 0.994
Ca6 0.759 0.257 0.759
O23 0.749 0.994 0.493
Ca7 0.761 0.256 0.256
O24 0.493 0.994 0.749

Output
* density of states at the Fermi level: 10.8 states/eV per cell
* energy: -280.4 eV for the cell shown